# SmDy2GeN4 PBE optimized geometry
data_SmDy2GeN4
_chemical_formula_sum 'Sm4 Dy8 Ge4 N16'
_symmetry_space_group_name_H-M 'C m c m'
_symmetry_Int_Tables_number 63
_symmetry_space_group_name_Hall '-C 2c 2'
_cell_length_a 3.530
_cell_length_b 11.397
_cell_length_c 11.630
_cell_angle_alpha 90.00
_cell_angle_beta 90.00
_cell_angle_gamma 90.00
loop_
_atom_site_label
_atom_site_type_symbol
_atom_site_fract_x
_atom_site_fract_y
_atom_site_fract_z
Sm1 Sm 0.000 0.101 0.250
Dy1 Dy 0.000 0.370 0.043
Ge1 Ge 0.000 0.161 0.750
N1 N 0.000 0.000 0.000
N2 N 0.000 0.270 0.628
N3 N 0.000 0.425 0.250
# - DOS(E_F) (states/eV/atom) = 0.115
# - volume (Å³/f.u.) = 117.0
# - raw formation energy (eV per atom) = -1.071
# - total moment (μB/cell) = 0.00
# - density (Mg/m³) = 8.574



# Dy4SnGeN PBE optimized geometry
data_Dy4SnGeN
_chemical_formula_sum 'Dy16 Sn4 Ge4 N4'
_symmetry_space_group_name_H-M 'C m c m'
_symmetry_Int_Tables_number 63
_symmetry_space_group_name_Hall '-C 2c 2'
_cell_length_a 6.573
_cell_length_b 15.642
_cell_length_c 6.577
_cell_angle_alpha 90.00
_cell_angle_beta 90.00
_cell_angle_gamma 90.00
loop_
_atom_site_label
_atom_site_type_symbol
_atom_site_fract_x
_atom_site_fract_y
_atom_site_fract_z
Dy1 Dy 0.000 0.082 0.250
Dy2 Dy 0.000 0.410 0.250
Dy3 Dy 0.250 0.250 0.000
Sn1 Sn 0.000 0.394 0.750
Ge1 Ge 0.000 0.113 0.750
N1 N 0.000 0.248 0.250
# - DOS(E_F) (states/eV/atom) = 0.590
# - volume (Å³/f.u.) = 169.0
# - raw formation energy (eV per atom) = -0.968
# - total moment (μB/cell) = 0.00
# - density (Mg/m³) = 8.402



# SrDy2GeN4 PBE optimized geometry
data_SrDy2GeN4
_chemical_formula_sum 'Sr4 Dy8 Ge4 N16'
_symmetry_space_group_name_H-M 'C m c m'
_symmetry_Int_Tables_number 63
_symmetry_space_group_name_Hall '-C 2c 2'
_cell_length_a 3.421
_cell_length_b 11.969
_cell_length_c 11.817
_cell_angle_alpha 90.00
_cell_angle_beta 90.00
_cell_angle_gamma 90.00
loop_
_atom_site_label
_atom_site_type_symbol
_atom_site_fract_x
_atom_site_fract_y
_atom_site_fract_z
Sr1 Sr 0.000 0.094 0.250
Dy1 Dy 0.000 0.370 0.039
Ge1 Ge 0.000 0.177 0.750
N1 N 0.000 0.000 0.000
N2 N 0.000 0.261 0.620
N3 N 0.000 0.416 0.250
# - volume (Å³/f.u.) = 121.0
# - raw formation energy (eV per atom) = -1.071
# - total moment (μB/cell) = 0.00
# - density (Mg/m³) = 7.430



# Dy2TaGeN5 PBE optimized geometry
data_Dy2TaGeN5
_chemical_formula_sum 'Dy8 Ta4 Ge4 N20'
_symmetry_space_group_name_H-M 'C m c 21'
_symmetry_Int_Tables_number 36
_symmetry_space_group_name_Hall 'C 2c -2'
_cell_length_a 3.178
_cell_length_b 13.684
_cell_length_c 10.145
_cell_angle_alpha 90.00
_cell_angle_beta 90.00
_cell_angle_gamma 90.00
loop_
_atom_site_label
_atom_site_type_symbol
_atom_site_fract_x
_atom_site_fract_y
_atom_site_fract_z
Dy1 Dy 0.000 0.118 0.000
Dy2 Dy 0.000 0.130 0.569
Ta1 Ta 0.000 0.225 0.293
Ge1 Ge 0.000 0.491 0.762
N1 N 0.000 0.058 0.336
N2 N 0.000 0.286 0.931
N3 N 0.000 0.297 0.657
N4 N 0.000 0.370 0.298
N5 N 0.000 0.500 0.079
# - DOS(E_F) (states/eV/atom) = 0.002
# - volume (Å³/f.u.) = 110.3
# - raw formation energy (eV per atom) = -1.106
# - total moment (μB/cell) = 0.00
# - density (Mg/m³) = 9.764



# Dy8Ge3Te4N PBE optimized geometry
data_Dy8Ge3Te4N
_chemical_formula_sum 'Dy16 Ge6 Te8 N2'
_symmetry_space_group_name_H-M 'C 1 2/m 1'
_symmetry_Int_Tables_number 12
_symmetry_space_group_name_Hall '-C 2y'
_cell_length_a 14.293
_cell_length_b 8.248
_cell_length_c 8.515
_cell_angle_alpha 90.00
_cell_angle_beta 124.03
_cell_angle_gamma 90.00
loop_
_atom_site_label
_atom_site_type_symbol
_atom_site_fract_x
_atom_site_fract_y
_atom_site_fract_z
Dy1 Dy 0.010 0.234 0.295
Dy2 Dy 0.226 0.000 0.707
Dy3 Dy 0.241 0.500 0.723
Ge1 Ge 0.000 0.500 0.500
Ge2 Ge 0.250 0.250 0.500
Te1 Te 0.000 0.000 0.000
Te2 Te 0.000 0.500 0.000
Te3 Te 0.250 0.250 0.000
N1 N 0.000 0.000 0.500
# - DOS(E_F) (states/eV/atom) = 0.210
# - volume (Å³/f.u.) = 416.0
# - raw formation energy (eV per atom) = -1.190
# - total moment (μB/cell) = 0.00
# - density (Mg/m³) = 8.152



# NaDyGe2 PBE optimized geometry
data_NaDyGe2
_chemical_formula_sum 'Na1 Dy1 Ge2'
_symmetry_space_group_name_H-M 'P 4/m m m'
_symmetry_Int_Tables_number 123
_symmetry_space_group_name_Hall '-P 4 2'
_cell_length_a 4.490
_cell_length_b 4.490
_cell_length_c 4.213
_cell_angle_alpha 90.00
_cell_angle_beta 90.00
_cell_angle_gamma 90.00
loop_
_atom_site_label
_atom_site_type_symbol
_atom_site_fract_x
_atom_site_fract_y
_atom_site_fract_z
Na1 Na 0.000 0.000 0.000
Dy1 Dy 0.500 0.500 0.000
Ge1 Ge 0.000 0.500 0.500
# - DOS(E_F) (states/eV/atom) = 0.291
# - volume (Å³/f.u.) = 85.0
# - electronic total energy (eV per cell) = -16.65
# - total moment (μB/cell) = 0.00
# - density (Mg/m³) = 6.466